Entry 1:
ThCdCoRh, relaxed, DFT PBE; energy of formation from the pure elements = -109 kJ/mol of formula units; VASP energy = -5.98 eV per atom; SG = F-43m, No. 216; crystal system = cubic
1.0
-4.2320 1.6408 1.4033
-2.8989 -2.7743 2.5438
-0.7761 0.9513 4.5896
Co Rh Th Cd
1 1 1 1
direct
0.5000 0.5000 0.5000 Co
0.0000 0.0000 0.0000 Rh
0.2500 0.2500 0.2500 Th
0.7500 0.7500 0.7500 Cd

=====

Entry 2:
Rb2PrIO6, relaxed, DFT PBE; ΔE_f (raw) = -36.42 kcal/mol of atoms; VASP energy = -5.38 eV per atom; SG = R-3m, No. 166; crystal system = trigonal
1.0
-0.1448 6.2848 1.1182
-2.8934 3.9124 -4.1342
-9.8192 2.2868 4.1054
Rb Pr I O
4 2 2 12
direct
0.8665 0.8665 0.4006 Rb
0.1335 0.1335 0.5994 Rb
0.7359 0.7359 0.7923 Rb
0.2641 0.2641 0.2077 Rb
0.6017 0.6017 0.1948 Pr
0.3983 0.3983 0.8052 Pr
0.0000 0.0000 0.0000 I
0.5000 0.5000 0.5000 I
0.8136 0.3999 0.3865 O
0.3999 0.8136 0.3865 O
0.3999 0.3999 0.3865 O
0.1864 0.6001 0.6135 O
0.6001 0.1864 0.6135 O
0.6001 0.6001 0.6135 O
0.7528 0.1771 0.8930 O
0.1771 0.7528 0.8930 O
0.1771 0.1771 0.8930 O
0.2472 0.8229 0.1070 O
0.8229 0.2472 0.1070 O
0.8229 0.8229 0.1070 O

=====

Entry 3:
Y6Pd5Rh, relaxed, DFT PBE; energy of formation from the pure elements = -1015 kJ/mol of formula units; VASP energy = -6.88 eV per atom; SG = P2/m, No. 10; crystal system = monoclinic
1.0
4.7425 -0.0283 1.5544
0.0373 6.9271 0.0124
-0.0241 -0.0139 7.8473
Y Rh Pd
6 1 5
direct
0.8362 0.7521 0.3286 Y
0.8362 0.2479 0.3286 Y
0.5000 0.2463 0.0000 Y
0.5000 0.7537 0.0000 Y
0.1638 0.7521 0.6714 Y
0.1638 0.2479 0.6714 Y
0.0000 0.0000 0.0000 Rh
0.6675 0.5000 0.6649 Pd
0.3337 0.0000 0.3345 Pd
0.0000 0.5000 0.0000 Pd
0.6663 0.0000 0.6655 Pd
0.3325 0.5000 0.3351 Pd